# 1
VASP calculation (PBE-GGA) on NdScCo after structural relaxation.

It has space group P2_1/m (No. 11), with a = 5.0112 Å, b = 4.7924 Å, c = 5.7924 Å, α = 90.00°, β = 100.85° and γ = 90.00°. Symmetry generates all atoms from Nd at (0.2202, 0.2500, 0.3994), Sc at (0.3162, 0.7500, 0.0045) and Co at (0.1404, 0.2500, 0.8635).

Its calculated volume is 136.62 Å³/cell. The calculation puts the formation energy from the elements at -0.1067 eV/atom.

---

# 2
VASP calculation (PBE-GGA) on Nd2ScCo9 after structural relaxation.

It has space group R-3m (No. 166, hexagonal axes), with a = 4.9276 Å, b = 4.9276 Å, c = 25.0499 Å, α = 90.00°, β = 90.00° and γ = 120.00°. Symmetry generates all atoms from Nd at (0.0000, 0.0000, 0.1383), Sc at (0.0000, 0.0000, 0.0000), Co at (0.0000, 0.0000, 0.3333), Co at (0.0000, 0.0000, 0.5000) and Co at (0.0023, 0.5012, 0.0776).

Its calculated volume is 526.75 Å³/cell. The calculation puts the formation energy from the elements at -0.0738 eV/atom.

---

# 3
VASP calculation (PBE-GGA) on NdScZnCo after structural relaxation.

It has space group F-43m (No. 216), with a = 6.8260 Å, b = 6.8260 Å, c = 6.8260 Å, α = 90.00°, β = 90.00° and γ = 90.00°. Symmetry generates all atoms from Nd at (0.0000, 0.0000, 0.0000), Sc at (0.0000, 0.0000, 0.5000), Zn at (0.2500, 0.2500, 0.2500) and Co at (0.2500, 0.2500, 0.7500).

Its calculated volume is 318.05 Å³/cell. The calculation puts the formation energy from the elements at -0.1606 eV/atom.

---

# 4
VASP calculation (PBE-GGA) on Nd3Co5Se12 after structural relaxation.

It has space group Ia-3d (No. 230), with a = 15.3746 Å, b = 15.3746 Å, c = 15.3746 Å, α = 90.00°, β = 90.00° and γ = 90.00°. Symmetry generates all atoms from Nd at (0.0000, 0.2500, 0.1250), Co at (0.0000, 0.0000, 0.0000), Co at (0.0000, 0.2500, 0.3750) and Se at (0.0331, 0.0544, 0.6443).

Its calculated volume is 3634.20 Å³/cell. The calculation puts the uncorrected formation energy at -0.712 eV per atom.

---

# 5
VASP calculation (PBE-GGA) on Nd5CoSe4 after structural relaxation.

It has space group I4/m (No. 87), with a = 9.3951 Å, b = 9.3951 Å, c = 6.0124 Å, α = 90.00°, β = 90.00° and γ = 90.00°. Symmetry generates all atoms from Nd at (0.0000, 0.0000, 0.0000), Nd at (0.0943, 0.7224, 0.5000), Co at (0.0000, 0.0000, 0.5000) and Se at (0.0920, 0.6946, 0.0000).

Its calculated volume is 530.69 Å³/cell. The calculation puts the uncorrected formation energy at -1.454 eV per atom.

---

# 6
VASP calculation (PBE-GGA) on Nd8Co2Si after structural relaxation.

It has space group Cm (No. 8), with a = 8.3311 Å, b = 12.7356 Å, c = 6.4432 Å, α = 90.00°, β = 109.94° and γ = 90.00°. Symmetry generates all atoms from Nd at (0.0000, 0.0000, 0.0000), Nd at (0.0814, 0.3642, 0.8172), Nd at (0.1527, 0.1351, 0.6035), Nd at (0.2194, 0.5000, 0.3927), Nd at (0.3662, 0.2099, 0.2089), Co at (0.3680, 0.3102, 0.6977) and Si at (0.3630, 0.0000, 0.9997).

Its calculated volume is 642.65 Å³/cell. The calculation puts the uncorrected formation energy at -0.056 eV per atom.

---

# 7
VASP calculation (PBE-GGA) on Nd3CoSi2 after structural relaxation.

It has space group Pnma (No. 62), with a = 11.8101 Å, b = 4.1920 Å, c = 11.5350 Å, α = 90.00°, β = 90.00° and γ = 90.00°. Symmetry generates all atoms from Nd at (0.0582, 0.2500, 0.1259), Nd at (0.1170, 0.7500, 0.5582), Nd at (0.2151, 0.2500, 0.7995), Co at (0.1320, 0.2500, 0.3639), Si at (0.0316, 0.7500, 0.3174) and Si at (0.2003, 0.7500, 0.9912).

Its calculated volume is 571.07 Å³/cell. The calculation puts the uncorrected formation energy at -0.587 eV per atom.

---

# 8
VASP calculation (PBE-GGA) on Nd2Co5Si4 after structural relaxation.

It has space group Fmmm (No. 69), with a = 5.3857 Å, b = 9.3826 Å, c = 13.2244 Å, α = 90.00°, β = 90.00° and γ = 90.00°. Symmetry generates all atoms from Nd at (0.0000, 0.0000, 0.1338), Co at (0.0000, 0.0000, 0.5000), Co at (0.2500, 0.2500, 0.0000), Co at (0.2500, 0.2500, 0.2500) and Si at (0.0000, 0.1575, 0.3702).

Its calculated volume is 668.25 Å³/cell. The calculation puts the uncorrected formation energy at -0.628 eV per atom.

---

# 9
VASP calculation (PBE-GGA) on Nd3Co2Si2 after structural relaxation.

It has space group Pbcm (No. 57), with a = 5.7023 Å, b = 7.8477 Å, c = 12.7839 Å, α = 90.00°, β = 90.00° and γ = 90.00°. Symmetry generates all atoms from Nd at (0.1378, 0.1110, 0.1004), Nd at (0.3612, 0.7401, 0.7500), Co at (0.3770, 0.0282, 0.5853), Si at (0.1684, 0.0910, 0.7500) and Si at (0.3903, 0.7500, 0.0000).

Its calculated volume is 572.08 Å³/cell. The calculation puts the uncorrected formation energy at -0.520 eV per atom.

---

# 10
VASP calculation (PBE-GGA) on Nd3Co2Si4 after structural relaxation.

It has space group C2/m (No. 12), with a = 11.1930 Å, b = 4.0509 Å, c = 8.0298 Å, α = 90.00°, β = 108.08° and γ = 90.00°. Symmetry generates all atoms from Nd at (0.0000, 0.0000, 0.0000), Nd at (0.1076, 0.5000, 0.6874), Co at (0.1993, 0.5000, 0.3644), Si at (0.1198, 0.0000, 0.3984) and Si at (0.2213, 0.5000, 0.0801).

Its calculated volume is 346.12 Å³/cell. The calculation puts the uncorrected formation energy at -0.693 eV per atom.

---

# 11
VASP calculation (PBE-GGA) on NdCo5Si3 after structural relaxation.

It has space group Cmcm (No. 63), with a = 3.7352 Å, b = 11.7319 Å, c = 11.3035 Å, α = 90.00°, β = 90.00° and γ = 90.00°. Symmetry generates all atoms from Nd at (0.0000, 0.1705, 0.2500), Co at (0.0000, 0.0000, 0.0000), Co at (0.0000, 0.1932, 0.5644), Co at (0.0000, 0.4505, 0.1461), Si at (0.0000, 0.1077, 0.7500) and Si at (0.0000, 0.3807, 0.5393).

Its calculated volume is 495.33 Å³/cell. The calculation puts the uncorrected formation energy at -0.546 eV per atom.

---

# 12
VASP calculation (PBE-GGA) on Nd3Co7Si2 after structural relaxation.

It has space group R-3m (No. 166, hexagonal axes), with a = 5.2721 Å, b = 5.2721 Å, c = 22.6774 Å, α = 90.00°, β = 90.00° and γ = 120.00°. Symmetry generates all atoms from Nd at (0.0000, 0.0000, 0.0000), Nd at (0.0000, 0.0000, 0.1422), Co at (0.0000, 0.0000, 0.5000), Co at (0.0095, 0.5048, 0.0772) and Si at (0.0000, 0.0000, 0.3314).

Its calculated volume is 545.88 Å³/cell. The calculation puts the uncorrected formation energy at -0.330 eV per atom.